Entry 1:
{
  "formula": "BaNaAg2O4",
  "functional": "GGA-PBE",
  "state": "optimized geometry",
  "lattice_angstrom": [[-2.925, 2.925, 3.736], [2.925, -2.925, 3.736], [2.925, 2.925, -3.736]],
  "species": ["Ba", "Na", "Ag", "Ag", "O", "O", "O", "O"],
  "fractional_positions": [[0.000, 0.000, 0.000], [0.500, 0.500, 0.000], [0.250, 0.750, 0.500], [0.750, 0.250, 0.500], [0.079, 0.509, 0.000], [0.491, 0.491, 0.570], [0.509, 0.079, 0.000], [0.921, 0.921, 0.430]],
  "formation_energy_uncorrected_ev_per_atom": -0.967,
  "dos_ef_per_ev_cell": 2.06,
  "total_magnetization_mub_per_fu": 0.0,
  "vol_a3_per_atom": 16.0
}

---

Entry 2:
{
  "formula": "IrOsRu2",
  "functional": "GGA-PBE",
  "state": "optimized geometry",
  "lattice_angstrom": [[2.716, 0.000, 0.000], [0.000, 2.716, 0.000], [0.000, 0.000, 7.687]],
  "species": ["Ir", "Os", "Ru", "Ru"],
  "fractional_positions": [[0.000, 0.000, 0.000], [0.500, 0.500, 0.252], [0.000, 0.000, 0.500], [0.500, 0.500, 0.747]],
  "dos_ef_per_ev_cell": 3.92,
  "e_form_ev_per_atom": 0.07,
  "total_magnetization_mub_per_fu": 0.0,
  "vol_a3_per_atom": 14.2
}

---

Entry 3:
{
  "formula": "PmDy2HoAs4",
  "functional": "GGA-PBE",
  "state": "optimized geometry",
  "lattice_angstrom": [[7.177, 0.000, 0.000], [0.000, 4.147, 0.000], [-2.392, 0.000, 6.768]],
  "species": ["Pm", "Dy", "Dy", "Ho", "As", "As", "As", "As"],
  "fractional_positions": [[0.000, 0.000, 0.000], [0.000, 0.500, 0.500], [0.500, 0.000, 0.500], [0.500, 0.500, 0.000], [0.253, 0.000, 0.748], [0.255, 0.500, 0.255], [0.745, 0.500, 0.745], [0.747, 0.000, 0.252]],
  "dos_ef_per_ev_cell": 0.88,
  "e_form_ev_per_atom": -1.53,
  "total_magnetization_mub_per_fu": 0.0,
  "vol_a3_per_atom": 25.2
}

---

Entry 4:
{
  "formula": "LaBe",
  "functional": "GGA-PBE",
  "state": "optimized geometry",
  "lattice_angstrom": [[1.866, 1.077, 4.299], [-1.866, 1.077, 4.299], [0.000, -2.154, 4.299]],
  "species": ["La", "Be"],
  "fractional_positions": [[0.000, 0.000, 0.000], [0.500, 0.500, 0.500]],
  "dos_ef_per_ev_cell": 2.52,
  "e_form_ev_per_atom": 0.56,
  "total_magnetization_mub_per_fu": 0.0,
  "vol_a3_per_atom": 25.9
}

---

What did the third record say?
{
  "formula": "PmDy2HoAs4",
  "functional": "GGA-PBE",
  "state": "optimized geometry",
  "lattice_angstrom": [[7.177, 0.000, 0.000], [0.000, 4.147, 0.000], [-2.392, 0.000, 6.768]],
  "species": ["Pm", "Dy", "Dy", "Ho", "As", "As", "As", "As"],
  "fractional_positions": [[0.000, 0.000, 0.000], [0.000, 0.500, 0.500], [0.500, 0.000, 0.500], [0.500, 0.500, 0.000], [0.253, 0.000, 0.748], [0.255, 0.500, 0.255], [0.745, 0.500, 0.745], [0.747, 0.000, 0.252]],
  "dos_ef_per_ev_cell": 0.88,
  "e_form_ev_per_atom": -1.53,
  "total_magnetization_mub_per_fu": 0.0,
  "vol_a3_per_atom": 25.2
}